No. 1
! ScTi2Fe PBE relaxed; values from VASP
! Total energy: -7.511 eV/atom
! Magnetization: 0.0 Bohr magnetons per cell
! Symmetry: No. 122
! Density of states at the Fermi level: 0.951 states/eV/atom
&SYSTEM
  ibrav = 0, nat = 16, ntyp = 3
/
ATOMIC_SPECIES
Sc 44.96 Sc.upf
Ti 47.87 Ti.upf
Fe 55.84 Fe.upf
ATOMIC_POSITIONS crystal
Sc 0.000 0.000 0.000
Sc 0.000 0.500 0.250
Sc 0.500 0.000 0.750
Sc 0.500 0.500 0.500
Ti 0.186 0.750 0.625
Ti 0.250 0.186 0.375
Ti 0.250 0.314 0.875
Ti 0.314 0.750 0.125
Ti 0.686 0.250 0.125
Ti 0.750 0.686 0.875
Ti 0.750 0.814 0.375
Ti 0.814 0.250 0.625
Fe 0.000 0.000 0.500
Fe 0.000 0.500 0.750
Fe 0.500 0.000 0.250
Fe 0.500 0.500 0.000
CELL_PARAMETERS angstrom
7.128 0.000 0.000
0.000 7.128 0.000
0.000 0.000 5.483


No. 2
! ScTiFe2 PBE relaxed; values from VASP
! Total energy: -7.978 eV/atom
! Magnetization: 0.4 Bohr magnetons per cell
! Symmetry: No. 123
! Density of states at the Fermi level: 0.822 states/eV/atom
&SYSTEM
  ibrav = 0, nat = 4, ntyp = 3
/
ATOMIC_SPECIES
Sc 44.96 Sc.upf
Ti 47.87 Ti.upf
Fe 55.84 Fe.upf
ATOMIC_POSITIONS crystal
Sc 0.000 0.000 0.000
Ti 0.500 0.500 0.000
Fe 0.000 0.500 0.500
Fe 0.500 0.000 0.500
CELL_PARAMETERS angstrom
4.283 0.000 0.000
0.000 4.283 0.000
0.000 0.000 3.028


No. 3
! Sc3TiFe8 PBE relaxed; values from VASP
! Total energy: -8.160 eV/atom
! Magnetization: 11.5 Bohr magnetons per cell
! Symmetry: No. 160
! Density of states at the Fermi level: 0.855 states/eV/atom
&SYSTEM
  ibrav = 0, nat = 12, ntyp = 3
/
ATOMIC_SPECIES
Sc 44.96 Sc.upf
Ti 47.87 Ti.upf
Fe 55.84 Fe.upf
ATOMIC_POSITIONS crystal
Sc 0.000 0.000 0.000
Sc 0.126 0.126 0.126
Sc 0.624 0.624 0.624
Ti 0.500 0.500 0.500
Fe 0.062 0.062 0.561
Fe 0.062 0.561 0.062
Fe 0.065 0.563 0.563
Fe 0.312 0.312 0.312
Fe 0.561 0.062 0.062
Fe 0.563 0.065 0.563
Fe 0.563 0.563 0.065
Fe 0.813 0.813 0.813
CELL_PARAMETERS angstrom
2.447 1.413 7.973
-2.447 1.413 7.973
0.000 -2.825 7.973